First-principles (PBE with a Hubbard U) data for a relaxed structure of NpGa2FeO8, as listed in Alexandria.

Cell: 4.7879 4.7828 6.0511 Å, 90.00 90.00 92.04°
Closest atoms and distances in Å follow each position.
Element x y z (fractional)
Np: 0.0000 0.0000 0.0000  6 O 2.01-2.09
Ga: 0.5000 0.5000 0.7331  6 O 1.92-2.14
Ga: 0.5000 0.5000 0.2669  6 O 1.92-2.14
Fe: 0.0000 0.0000 0.5000  6 O 1.98-2.03
O: 0.1882 0.8103 0.2525  1 Fe 1.98, 1 Np 2.01, 1 Ga 2.14
O: 0.6851 0.6866 0.0000  2 Ga 2.03, 1 Np 2.09
O: 0.8118 0.1897 0.2525  1 Fe 1.98, 1 Np 2.01, 1 Ga 2.14
O: 0.8118 0.1897 0.7475  1 Fe 1.98, 1 Np 2.01, 1 Ga 2.14
O: 0.3149 0.3134 0.0000  2 Ga 2.03, 1 Np 2.09
O: 0.1882 0.8103 0.7475  1 Fe 1.98, 1 Np 2.01, 1 Ga 2.14
O: 0.6944 0.6956 0.5000  2 Ga 1.92, 1 Fe 2.03
O: 0.3056 0.3044 0.5000  2 Ga 1.92, 1 Fe 2.03

total DFT energy (no corrections): -7.20 eV/atom
size of the total moment: 3.026 μB per cell
D(E_F): 0.201 states/eV/atom